Here is an optimized crystal structure of SmHo2In from OQMD via LeMat-Bulk. Energies are from GGA-PBE.

Lattice parameters (Å, degrees): 4.8638 4.8638 4.8294 90.00 90.00 90.00
Last column: nearest neighbours and their distance in Å.
Space group P4/mmm (No. 123)
One atom of each set of equivalent atoms:
Sm 0.0000 0.0000 0.0000 (multiplicity 1)  8 Ho 3.43, 4 In 3.44
Ho 0.0000 0.5000 0.5000 (multiplicity 2)  4 In 3.43, 4 Sm 3.43, 4 Ho 3.44
In 0.5000 0.5000 0.0000 (multiplicity 1)  8 Ho 3.43, 4 Sm 3.44

Values from the calculation:
**Energy**: -17.7 eV for the cell shown
**Calculated volume**: 114.25 Å³/f.u.